No. 1
The following is a PBE-GGA calculation of a relaxed KPdCl4 crystal, from Alexandria.

Structure (CIF):
```
data_KPdCl4
_chemical_formula_sum 'K4 Pd4 Cl16'
_cell_length_a 14.845
_cell_length_b 6.265
_cell_length_c 7.038
_cell_angle_alpha 90.00
_cell_angle_beta 105.13
_cell_angle_gamma 90.00
_space_group_name_H-M_alt 'C 1 2/c 1'
_space_group_IT_number 15
loop_
_space_group_symop_operation_xyz
'x,y,z'
'-x,-y,-z'
'-x,y,-z+1/2'
'x,-y,z+1/2'
'x+1/2,y+1/2,z'
'-x+1/2,-y+1/2,-z'
'-x+1/2,y+1/2,-z+1/2'
'x+1/2,-y+1/2,z+1/2'
loop_
_atom_site_label
_atom_site_type_symbol
_atom_site_fract_x
_atom_site_fract_y
_atom_site_fract_z
K1 K 0.000 0.185 0.250
Pd1 Pd 0.250 0.250 0.000
Cl1 Cl 0.094 0.354 0.924
Cl2 Cl 0.203 0.040 0.689
```

Summary:
Its density of states at the Fermi level is 6.931 states/eV/cell. The energy above the most stable polymorph in this dataset comes out at 0 meV/atom. For the final energy, the calculation gives -3.189 eV per atom. The energy relative to the elements, uncorrected comes out at -87.7 kJ/mol of atoms.

No. 2
The following is a PBE-GGA calculation of a relaxed K3Pd2Cl9 crystal, from Alexandria.

Structure (CIF):
```
data_K3Pd2Cl9
_chemical_formula_sum 'K6 Pd4 Cl18'
_cell_length_a 6.9479
_cell_length_b 6.9479
_cell_length_c 18.1088
_cell_angle_alpha 90.00
_cell_angle_beta 90.00
_cell_angle_gamma 120.00
_space_group_name_H-M_alt 'P 63/m m c'
_space_group_IT_number 194
_space_group_name_Hall '-P 6c 2c'
loop_
_atom_site_label
_atom_site_type_symbol
_atom_site_fract_x
_atom_site_fract_y
_atom_site_fract_z
K1 K 0.0000 0.0000 0.2500
K2 K 0.3333 0.6667 0.0592
Pd1 Pd 0.3333 0.6667 0.6641
Cl1 Cl 0.0096 0.5048 0.7500
Cl2 Cl 0.1703 0.3406 0.5894
```

Summary:
Its density of states at the Fermi level is 16.877 states/eV/cell. For the final energy, the calculation gives -3.225 eV per atom. The energy relative to the elements, uncorrected comes out at -102.4 kJ/mol of atoms.

No. 3
The following is a PBE-GGA calculation of a relaxed KPd2Cl2 crystal, from Alexandria.

Structure (CIF):
```
data_KPd2Cl2
_chemical_formula_sum 'K2 Pd4 Cl4'
_cell_length_a 3.814
_cell_length_b 3.814
_cell_length_c 15.269
_cell_angle_alpha 90.00
_cell_angle_beta 90.00
_cell_angle_gamma 90.00
_space_group_name_H-M_alt 'I 4/m m m'
_space_group_IT_number 139
_space_group_name_Hall '-I 4 2'
loop_
_atom_site_label
_atom_site_type_symbol
_atom_site_fract_x
_atom_site_fract_y
_atom_site_fract_z
K1 K 0.000 0.000 0.000
Pd1 Pd 0.000 0.500 0.250
Cl1 Cl 0.000 0.000 0.384
```

Summary:
Its density of states at the Fermi level is 7.500 states/eV/cell. The energy above the most stable polymorph in this dataset comes out at 0 meV/atom. For the final energy, the calculation gives -3.546 eV per atom. The energy relative to the elements, uncorrected comes out at -49.2 kJ/mol of atoms.

No. 4
The following is a PBE-GGA calculation of a relaxed K2PdCl crystal, from Alexandria.

Structure (CIF):
```
data_K2PdCl
_chemical_formula_sum 'K8 Pd4 Cl4'
_cell_length_a 8.208
_cell_length_b 8.208
_cell_length_c 8.816
_cell_angle_alpha 90.00
_cell_angle_beta 90.00
_cell_angle_gamma 90.00
_space_group_name_H-M_alt 'I -4 2 d'
_space_group_IT_number 122
_space_group_name_Hall 'I -4 2bw'
loop_
_atom_site_label
_atom_site_type_symbol
_atom_site_fract_x
_atom_site_fract_y
_atom_site_fract_z
K1 K 0.231 0.250 0.125
Pd1 Pd 0.000 0.000 0.500
Cl1 Cl 0.000 0.000 0.000
```

Summary:
Its density of states at the Fermi level is 2.214 states/eV/cell. The energy above the most stable polymorph in this dataset comes out at 0 meV/atom. For the final energy, the calculation gives -2.838 eV per atom. The energy relative to the elements, uncorrected comes out at -51.1 kJ/mol of atoms.